(1)
The following is a PBE calculation of Be2SbAs after structural relaxation, from the Alexandria database.

Computed properties:
- ρ: 4.65 Mg/m³
- Space group: No. 6
- ΔE_f (raw): 0.14 eV/atom
- Excess energy over the best structure of this formula in the dataset: 3 meV per atom

Cell and atoms, written as extended XYZ:
```
4
Lattice="4.025 0.000 0.000 0.000 3.693 0.000 -1.961 0.000 5.156" Properties=species:S:1:pos:R:3 pbc="T T T"
Be 0.000 0.000 0.000
Be 1.318 1.846 0.236
Sb 0.038 0.000 3.720
As 3.353 1.846 1.257
```

(2)
The following is a PBE calculation of CuBIr2 after structural relaxation, from the Alexandria database.

Computed properties:
- ρ: 15.69 Mg/m³
- Space group: No. 63
- Formation enthalpy at 0 K: -0.112 eV/atom

Cell and atoms, written as extended XYZ:
```
8
Lattice="1.443 -5.860 0.000 1.443 5.860 0.000 0.000 0.000 5.741" Properties=species:S:1:pos:R:3 pbc="T T T"
Cu 1.443 5.855 1.435
Cu 1.443 -5.855 4.306
B 1.443 3.414 4.306
B 1.443 -3.414 1.435
Ir 1.443 1.740 2.905
Ir 1.443 1.740 5.707
Ir 1.443 -1.740 0.034
Ir 1.443 -1.740 2.836
```

(3)
The following is a PBE calculation of PmDy5Tm4 after structural relaxation, from the Alexandria database.

Computed properties:
- ρ: 8.68 Mg/m³
- Space group: No. 1
- Excess energy over the best structure of this formula in the dataset: 0 meV per atom
- Formation enthalpy at 0 K: 0.047 eV/atom

Cell and atoms, written as extended XYZ:
```
10
Lattice="5.394 0.000 0.000 0.010 6.990 0.000 2.687 0.002 8.289" Properties=species:S:1:pos:R:3 pbc="T T T"
Pm 0.000 0.000 0.000
Dy 2.697 3.478 4.979
Dy 2.700 5.221 1.825
Dy 5.394 5.226 6.464
Dy 5.397 6.986 3.321
Dy 5.397 3.480 0.004
Tm 2.702 6.989 4.974
Tm 2.695 1.750 1.831
Tm 5.390 1.744 6.459
Tm 5.393 3.476 3.308
```

(4)
The following is a PBE calculation of CaCdInBi after structural relaxation, from the Alexandria database.

Computed properties:
- ρ: 6.64 Mg/m³
- Space group: No. 216
- Excess energy over the best structure of this formula in the dataset: 108 meV per atom
- Formation enthalpy at 0 K: -0.271 eV/atom

Cell and atoms, written as extended XYZ:
```
4
Lattice="0.000 3.906 3.906 3.906 0.000 3.906 3.906 3.906 0.000" Properties=species:S:1:pos:R:3 pbc="T T T"
Ca 0.000 0.000 0.000
Cd 1.953 1.953 1.953
In 3.906 3.906 3.906
Bi 5.859 5.859 5.859
```

(5)
The following is a PBE calculation of YSi3N after structural relaxation, from the Alexandria database.

Computed properties:
- ρ: 4.09 Mg/m³
- Space group: No. 221
- ΔE_f (raw): 0.20 eV/atom
- Excess energy over the best structure of this formula in the dataset: 0 meV per atom

Cell and atoms, written as extended XYZ:
```
5
Lattice="4.236 0.000 0.000 0.000 4.236 0.000 0.000 0.000 4.236" Properties=species:S:1:pos:R:3 pbc="T T T"
Y 0.000 0.000 0.000
Si 0.000 2.118 2.118
Si 2.118 0.000 2.118
Si 2.118 2.118 0.000
N 2.118 2.118 2.118
```

(6)
The following is a PBE calculation of CuRe2Pb after structural relaxation, from the Alexandria database.

Computed properties:
- ρ: 15.28 Mg/m³
- Space group: No. 99
- Excess energy over the best structure of this formula in the dataset: 0 meV per atom
- Formation enthalpy at 0 K: 0.482 eV/atom

Cell and atoms, written as extended XYZ:
```
4
Lattice="3.090 0.000 0.000 0.000 3.090 0.000 0.000 0.000 7.322" Properties=species:S:1:pos:R:3 pbc="T T T"
Cu 0.000 0.000 0.000
Re 0.000 0.000 4.322
Re 1.545 1.545 5.728
Pb 1.545 1.545 2.055
```